No. 1
Density functional theory data (PBE) for crystalline BeN2F2 at its relaxed geometry.

Output
Relative energy among the computed polymorphs (meV per atom): 0
Raw formation energy (kcal/mol of atoms): 5.3

Unit cell a=3.0604 b=3.0604 c=6.1644 alpha=90.00 beta=90.00 gamma=90.00
With the nearest neighbours (Å) after each atom.
Space group P4/mmm (No. 123)
Unique sites:
Be  0.0000  0.0000  0.0000 x1  4 F 1.53
N  0.0000  0.0000  0.5000 x1  4 N 2.16
N  0.5000  0.5000  0.5000 x1  4 N 2.16
F  0.0000  0.5000  0.0000 x2  2 Be 1.53



No. 2
Density functional theory data (PBE) for crystalline Ce6Tl2O at its relaxed geometry.

Output
Raw formation energy (kcal/mol of atoms): -16.0

Unit cell a=6.6446 b=6.6897 c=10.2237 alpha=90.00 beta=90.00 gamma=90.00
With the nearest neighbours (Å) after each atom.
Space group Immm (No. 71)
Unique sites:
Ce  0.0000  0.0000  0.2319 x4  1 O 2.37
Ce  0.2071  0.2532  0.5000 x8  1 O 2.55, 1 Ce 2.75
Tl  0.0000  0.5000  0.2326 x4  12 Ce 3.34-3.51
O  0.0000  0.0000  0.0000 x2  6 Ce 2.37-2.55



No. 3
Density functional theory data (PBE) for crystalline V2CrOs at its relaxed geometry.

Output
Formation enthalpy at 0 K (meV per atom): -285
Relative energy among the computed polymorphs (meV per atom): 16

Unit cell a=2.9594 b=2.9594 c=5.9681 alpha=90.00 beta=90.00 gamma=90.00
With the nearest neighbours (Å) after each atom.
Space group P4/mmm (No. 123)
Unique sites:
V  0.0000  0.0000  0.2372 x2  4 Cr 2.53, 4 Os 2.61
Cr  0.5000  0.5000  0.0000 x1  8 V 2.53
Os  0.5000  0.5000  0.5000 x1  8 V 2.61



No. 4
Density functional theory data (PBE) for crystalline HAuSe at its relaxed geometry.

Output
Relative energy among the computed polymorphs (meV per atom): 274

Unit cell a=2.8175 b=2.8175 c=6.2833 alpha=90.00 beta=90.00 gamma=90.00
With the nearest neighbours (Å) after each atom.
Space group P4mm (No. 99)
Unique sites:
H  0.0000  0.0000  0.0000 x1  1 Au 1.66
Au  0.0000  0.0000  0.2639 x1  1 H 1.66
Se  0.0000  0.0000  0.6858 x1  1 H 1.97



No. 5
Density functional theory data (PBE) for crystalline DyEr3Tl at its relaxed geometry.

Output
Formation enthalpy at 0 K (meV per atom): -40
Relative energy among the computed polymorphs (meV per atom): 75

Unit cell a=14.4834 b=13.0673 c=6.4858 alpha=90.00 beta=104.01 gamma=90.00
With the nearest neighbours (Å) after each atom.
Space group C2/c (No. 15)
Unique sites:
Dy  0.1046  0.0673  0.4625 x8  8 Er 3.36-3.72, 4 Dy 3.57-3.69
Er  0.0978  0.1897  0.9764 x8  2 Tl 3.14-3.46, 3 Er 3.24-3.48, 2 Dy 3.36-3.45
Er  0.1889  0.3128  0.6404 x8  6 Er 3.24-3.59, 2 Tl 3.26-3.28, 2 Dy 3.53-3.58
Er  0.1974  0.4268  0.1417 x8  3 Tl 3.34-3.71, 2 Dy 3.36-3.60, 6 Er 3.40-3.66
Tl  0.0000  0.3323  0.2500 x4  6 Er 3.14-3.34, 3 Tl 3.27-3.43
Tl  0.0000  0.4172  0.7500 x4  3 Tl 3.27-3.43, 6 Er 3.28-3.46



No. 6
Density functional theory data (PBE) for crystalline ScU5As6 at its relaxed geometry.

Output
Formation enthalpy at 0 K (meV per atom): -827

Unit cell a=7.0486 b=12.2186 c=6.9885 alpha=90.00 beta=109.75 gamma=90.00
With the nearest neighbours (Å) after each atom.
Space group C2/m (No. 12)
Unique sites:
Sc  0.0000  0.0000  0.0000 x2  6 As 2.79-2.81
U  0.0000  0.1703  0.5000 x4  6 As 2.88-2.91
U  0.0000  0.3349  0.0000 x4  6 As 2.87-2.88
U  0.0000  0.5000  0.5000 x2  6 As 2.88-2.93
As  0.2413  0.0000  0.7511 x4  1 Sc 2.81, 5 U 2.88-2.93
As  0.2432  0.1628  0.2425 x8  1 Sc 2.79, 5 U 2.87-2.91



No. 7
Density functional theory data (PBE) for crystalline Sm8AsIr3I4 at its relaxed geometry.

Output
Raw formation energy (kcal/mol of atoms): -23.5

Unit cell a=8.4734 b=8.4734 c=23.7975 alpha=90.00 beta=90.00 gamma=120.00
With the nearest neighbours (Å) after each atom.
Space group R-3m (No. 166, hexagonal axes)
Unique sites:
Sm  0.0000  0.0000  0.2281 x6  3 Ir 2.85
Sm  0.0161  0.5081  0.7718 x18  2 Ir 2.80, 1 As 2.95
As  0.0000  0.0000  0.5000 x3  6 Sm 2.95
Ir  0.0000  0.5000  0.5000 x9  6 Sm 2.80-2.85
I  0.0000  0.0000  0.0000 x3  6 Sm 3.42
I  0.0000  0.5000  0.0000 x9  6 Sm 3.50-3.54



No. 8
Density functional theory data (PBE) for crystalline GeH3Pb at its relaxed geometry.

Output
Relative energy among the computed polymorphs (meV per atom): 0

Unit cell a=3.9573 b=3.9573 c=3.9573 alpha=90.00 beta=90.00 gamma=90.00
With the nearest neighbours (Å) after each atom.
Space group Pm-3m (No. 221)
Unique sites:
Ge  0.0000  0.0000  0.0000 x1  6 H 1.98
H  0.0000  0.0000  0.5000 x3  2 Ge 1.98
Pb  0.5000  0.5000  0.5000 x1  12 H 2.80



No. 9
Density functional theory data (PBE) for crystalline Tm6CoSn3 at its relaxed geometry.

Output
Formation enthalpy at 0 K (meV per atom): -342

Unit cell a=12.9614 b=12.9614 c=12.0721 alpha=90.00 beta=90.00 gamma=120.00
With the nearest neighbours (Å) after each atom.
Space group R-3 (No. 148, hexagonal axes)
Unique sites:
Tm  0.0333  0.1948  0.3934 x18  1 Co 2.67
Tm  0.0600  0.1902  0.8843 x18  1 Co 2.59
Co  0.0000  0.0000  0.0000 x3  6 Tm 2.59
Co  0.0000  0.0000  0.5000 x3  6 Tm 2.67
Sn  0.0467  0.4297  0.3115 x18  7 Tm 3.05-3.23



No. 10
Density functional theory data (PBE) for crystalline ScMn2GaBi at its relaxed geometry.

Output
Formation enthalpy at 0 K (meV per atom): 1012

Unit cell a=4.9963 b=4.9963 c=5.5011 alpha=90.00 beta=90.00 gamma=90.00
With the nearest neighbours (Å) after each atom.
Space group P4/mmm (No. 123)
Unique sites:
Sc  0.0000  0.0000  0.0000 x1  4 Mn 2.50, 2 Bi 2.75
Mn  0.0000  0.5000  0.0000 x2  2 Sc 2.50
Ga  0.5000  0.5000  0.5000 x1  4 Bi 3.53, 8 Mn 3.72
Bi  0.0000  0.0000  0.5000 x1  2 Sc 2.75



No. 11
Density functional theory data (PBE) for crystalline ZrNbHg2 at its relaxed geometry.

Output
Formation enthalpy at 0 K (meV per atom): 31
Relative energy among the computed polymorphs (meV per atom): 0

Unit cell a=4.3668 b=4.3668 c=4.2727 alpha=90.00 beta=90.00 gamma=90.00
With the nearest neighbours (Å) after each atom.
Space group P4/mmm (No. 123)
Unique sites:
Zr  0.0000  0.0000  0.0000 x1  8 Hg 3.05, 4 Nb 3.09
Nb  0.5000  0.5000  0.0000 x1  8 Hg 3.05, 4 Zr 3.09
Hg  0.0000  0.5000  0.5000 x2  4 Nb 3.05, 4 Zr 3.05, 4 Hg 3.09



No. 12
Density functional theory data (PBE) for crystalline Na2H2Se at its relaxed geometry.

Output
Relative energy among the computed polymorphs (meV per atom): 301

Unit cell a=4.8599 b=4.8599 c=7.5119 alpha=90.00 beta=90.00 gamma=90.00
With the nearest neighbours (Å) after each atom.
Space group I4/mmm (No. 139)
Unique sites:
Na  0.0000  0.5000  0.2500 x4  4 H 2.43
H  0.0000  0.0000  0.2473 x4  1 Se 1.86
Se  0.0000  0.0000  0.0000 x2  2 H 1.86



| no. | DOS at the Fermi energy (states/eV per atom) | magnetization (μB/cell) |
| --- | --- | --- |
| 1 | 0.262 | 1.6 |
| 2 | 2.512 | 7.5 |
| 3 | 0.573 | 0.0 |
| 4 | 0.386 | 0.0 |
| 5 | 1.285 | 0.0 |
| 6 | 2.234 | 25.0 |
| 7 | 0.534 | 0.0 |
| 8 | 0.243 | 0.0 |
| 9 | 0.758 | 0.0 |
| 10 | 0.873 | 7.7 |
| 11 | 0.819 | 0.0 |
| 12 | 0.000 | 0.0 |